Here is a geometry-optimized LaNiP structure from Alexandria. Energies are from PBE.

Cell lengths 7.7597, 7.7597, 3.6640 Å; angles 90.00, 90.00, 120.00 degrees
Last column: nearest neighbours and their distance in Å.
Sites, in units of the cell vectors:
La1 0.7123 0.7123 0.0000  4 P 2.78-2.89, 2 Ni 2.97
La2 0.2877 0.0000 0.0000  4 P 2.78-2.89, 2 Ni 2.97
La3 0.0000 0.2877 0.0000  4 P 2.78-2.89, 2 Ni 2.97
P1 0.3333 0.6667 0.0000  3 La 2.78, 6 Ni 2.98
P2 0.6667 0.3333 0.0000  3 La 2.78, 6 Ni 2.98
P3 0.0000 0.0000 0.5000  6 La 2.89, 3 Ni 3.18
Ni1 0.0000 0.5897 0.5000  2 La 2.97, 5 P 2.98-3.18
Ni2 0.5897 0.0000 0.5000  2 La 2.97, 5 P 2.98-3.18
Ni3 0.4103 0.4103 0.5000  2 La 2.97, 5 P 2.98-3.18

Results
DFT total energy (eV/cell): -50.62
Total magnetization (μB per formula unit): 0.00